HgOsAu2: optimized geometry, PBE-GGA.

```
data_HgOsAu2
_symmetry_space_group_name_H-M 'P 1'
_symmetry_Int_Tables_number 1
_symmetry_space_group_name_Hall 'P 1'
_cell_length_a 10.012
_cell_length_b 10.012
_cell_length_c 10.012
_cell_angle_alpha 16.58
_cell_angle_beta 16.58
_cell_angle_gamma 16.58
loop_
_atom_site_label
_atom_site_type_symbol
_atom_site_fract_x
_atom_site_fract_y
_atom_site_fract_z
_atom_site_occupancy
Hg1 Hg 0.000 0.000 0.000 1
Os1 Os 0.500 0.500 0.500 1
Au1 Au 0.244 0.244 0.244 1
Au2 Au 0.756 0.756 0.756 1
```

## Properties
**Formation energy**: 0.463 eV per atom
**Total magnetic moment**: 0.01 μB per formula unit
**SG**: R-3m (166)
**N(E_F)**: 0.6408 states/eV/atom